# 1
{
  "formula": "Al6CuNi10",
  "functional": "PBE",
  "state": "optimized geometry",
  "spacegroup": "No. 162",
  "dft_energy_ev_per_atom": -5.397,
  "magnetic_moment_mub_per_atom": 0.000,
  "dos_ef_per_ev_fu": 9.58,
  "e_form_ev_per_atom": -0.435,
  "cell": [[4.916, 0.000, 0.000], [0.000, 6.019, -3.475], [0.000, 0.000, 6.950]],
  "species": ["Cu", "Al", "Al", "Al", "Al", "Al", "Al", "Ni", "Ni", "Ni", "Ni", "Ni", "Ni", "Ni", "Ni", "Ni", "Ni"],
  "fractional_positions": [[0.500, 0.000, 0.000], [0.717, 0.373, 0.373], [0.283, 0.627, 0.627], [0.283, 0.373, 0.000], [0.717, 0.627, 0.000], [0.717, 0.000, 0.627], [0.283, 0.000, 0.373], [0.805, 0.715, 0.715], [0.000, 0.333, 0.667], [0.805, 0.000, 0.285], [0.805, 0.285, 0.000], [0.195, 0.285, 0.285], [0.500, 0.667, 0.333], [0.000, 0.667, 0.333], [0.195, 0.000, 0.715], [0.195, 0.715, 0.000], [0.500, 0.333, 0.667]]
}


# 2
{
  "formula": "TlAu4Se",
  "functional": "PBE",
  "state": "optimized geometry",
  "spacegroup": "No. 216",
  "dft_energy_ev_per_atom": -3.072,
  "magnetic_moment_mub_per_atom": 0.000,
  "raw_formation_energy_kj_per_mol_atoms": 8.5,
  "dos_ef_per_ev_fu": 2.80,
  "cell": [[-2.278, -4.385, -2.750], [-4.790, 0.678, -2.929], [0.096, -0.152, -5.652]],
  "species": ["Au", "Au", "Au", "Au", "Tl", "Se"],
  "fractional_positions": [[0.875, 0.375, 0.375], [0.375, 0.875, 0.375], [0.375, 0.375, 0.375], [0.375, 0.375, 0.875], [0.000, 0.000, 0.000], [0.750, 0.750, 0.750]]
}


# 3
{
  "formula": "KSeO2F",
  "functional": "PBE",
  "state": "optimized geometry",
  "spacegroup": "No. 123",
  "dft_energy_ev_per_atom": -2.623,
  "magnetic_moment_mub_per_atom": 0.675,
  "raw_formation_energy_kj_per_mol_atoms": 62.8,
  "dos_ef_per_ev_fu": 7.25,
  "cell": [[4.837, 0.000, 0.000], [0.000, 4.837, 0.000], [0.000, 0.000, 4.761]],
  "species": ["K", "F", "O", "O", "Se"],
  "fractional_positions": [[0.000, 0.000, 0.000], [0.000, 0.000, 0.500], [0.000, 0.500, 0.000], [0.500, 0.000, 0.000], [0.500, 0.500, 0.500]]
}


# 4
{
  "formula": "Ba2Cd5In2",
  "functional": "PBE",
  "state": "optimized geometry",
  "spacegroup": "No. 123",
  "dft_energy_ev_per_atom": -1.745,
  "magnetic_moment_mub_per_atom": 0.000,
  "dos_ef_per_ev_fu": 5.02,
  "e_form_ev_per_atom": -0.200,
  "cell": [[-2.431, 4.408, -0.410], [-2.091, -1.556, -4.326], [-8.494, -4.163, 5.604]],
  "species": ["Ba", "Ba", "Cd", "Cd", "Cd", "Cd", "Cd", "In", "In"],
  "fractional_positions": [[0.000, 0.000, 0.000], [0.000, 0.000, 0.500], [0.500, 0.500, 0.500], [0.000, 0.500, 0.273], [0.500, 0.000, 0.273], [0.500, 0.000, 0.727], [0.000, 0.500, 0.727], [0.500, 0.500, 0.867], [0.500, 0.500, 0.133]]
}